A geometry-optimized CaAcPd structure. Source: Alexandria via LeMat-Bulk, functional PBE-GGA.

Values from the calculation:
Energy of formation from the pure elements: -373.9 meV per atom
DFT total energy: -4.142 eV/atom
D(E_F): 2.15 states/eV/f.u.
Relative energy among the computed polymorphs: 141 meV/atom

Cell lengths 9.9124, 9.9124, 4.4790 Å; angles 90.00, 90.00, 154.45 degrees
Last column: nearest neighbours and their distance in Å.
Positions (direct):
Ca 0.2494 0.7506 0.7500  4 Pd 3.09-3.14, 4 Ca 3.13
Ca 0.7506 0.2494 0.2500  4 Pd 3.09-3.14, 4 Ca 3.13
Ac 0.0864 0.9136 0.2500  4 Pd 3.28
Ac 0.9136 0.0864 0.7500  4 Pd 3.28
Pd 0.3630 0.6370 0.2500  4 Ca 3.09-3.14, 4 Ac 3.28
Pd 0.6370 0.3630 0.7500  4 Ca 3.09-3.14, 4 Ac 3.28

---

A geometry-optimized KNa2Hg2 structure. Source: Alexandria via LeMat-Bulk, functional PBE-GGA.

Values from the calculation:
Energy of formation from the pure elements: -190.6 meV per atom
DFT total energy: -1.058 eV/atom
D(E_F): 2.36 states/eV/f.u.
Relative energy among the computed polymorphs: 3 meV/atom

Cell lengths 5.7301, 5.7301, 6.0659 Å; angles 107.73, 107.73, 61.10 degrees
Last column: nearest neighbours and their distance in Å.
Positions (direct):
K 0.0000 0.0000 0.0000  6 Hg 3.61-3.64, 8 Na 3.66-4.00
Na 0.2533 0.2533 0.6809  5 Hg 3.27-3.40, 2 Na 3.63
Na 0.7467 0.7467 0.3191  5 Hg 3.27-3.40, 2 Na 3.63
Hg 0.3904 0.3904 0.2562  1 Hg 2.98, 4 Na 3.27-3.32
Hg 0.6096 0.6096 0.7438  1 Hg 2.98, 4 Na 3.27-3.32

---

A geometry-optimized ZrCuPdW2 structure. Source: Alexandria via LeMat-Bulk, functional PBE-GGA.

Values from the calculation:
Energy of formation from the pure elements: 2240.3 meV per atom
DFT total energy: -6.508 eV/atom
D(E_F): 6.63 states/eV/f.u.

Cell lengths 4.7985, 4.7985, 4.7093 Å; angles 90.00, 90.00, 90.00 degrees
Last column: nearest neighbours and their distance in Å.
Positions (direct):
Zr 0.0000 0.0000 0.0000  2 Cu 2.35, 4 W 2.40
Cu 0.0000 0.0000 0.5000  2 Zr 2.35
Pd 0.5000 0.5000 0.5000  8 W 3.36, 4 Cu 3.39
W 0.0000 0.5000 0.0000  2 Zr 2.40
W 0.5000 0.0000 0.0000  2 Zr 2.40

---

A geometry-optimized TmMoRu structure. Source: Alexandria via LeMat-Bulk, functional PBE-GGA.

Values from the calculation:
Energy of formation from the pure elements: -154.1 meV per atom
DFT total energy: -8.347 eV/atom
D(E_F): 2.04 states/eV/f.u.

Cell lengths 6.5024, 6.5024, 4.6793 Å; angles 90.00, 90.00, 120.00 degrees
Last column: nearest neighbours and their distance in Å.
Positions (direct):
Tm 0.0000 0.4247 0.0000  5 Ru 2.76-3.04
Tm 0.4247 0.0000 0.0000  5 Ru 2.76-3.04
Tm 0.5753 0.5753 0.0000  5 Ru 2.76-3.04
Mo 0.0000 0.7625 0.5000  4 Ru 2.54-2.80, 2 Mo 2.68
Mo 0.2375 0.2375 0.5000  4 Ru 2.54-2.80, 2 Mo 2.68
Mo 0.7625 0.0000 0.5000  4 Ru 2.54-2.80, 2 Mo 2.68
Ru 0.0000 0.0000 0.0000  3 Tm 2.76, 6 Mo 2.80
Ru 0.3333 0.6667 0.5000  3 Mo 2.54
Ru 0.6667 0.3333 0.5000  3 Mo 2.54

---

A geometry-optimized Na2Au2Se3 structure. Source: Alexandria via LeMat-Bulk, functional PBE-GGA.

Values from the calculation:
Energy relative to the elements, uncorrected: -0.4442 eV per atom
DFT total energy: -3.251 eV/atom
D(E_F): 1.78 states/eV/f.u.

Cell lengths 6.8942, 6.8942, 5.7057 Å; angles 95.77, 95.77, 43.69 degrees
Last column: nearest neighbours and their distance in Å.
Positions (direct):
Na 0.1018 0.1018 0.3205  4 Se 2.97-3.11
Na 0.8982 0.8982 0.6795  4 Se 2.97-3.11
Au 0.3485 0.3485 0.1579  4 Se 2.57-2.60
Au 0.6515 0.6515 0.8421  4 Se 2.57-2.60
Se 0.1847 0.1847 0.8540  3 Au 2.57-2.60
Se 0.5000 0.5000 0.5000  2 Au 2.60
Se 0.8153 0.8153 0.1460  3 Au 2.57-2.60

---

A geometry-optimized CdPdI2 structure. Source: Alexandria via LeMat-Bulk, functional PBE-GGA.

Values from the calculation:
Energy relative to the elements, uncorrected: -0.1344 eV per atom
DFT total energy: -2.436 eV/atom
D(E_F): 0.23 states/eV/f.u.
Relative energy among the computed polymorphs: 0 meV/atom

Cell lengths 7.9305, 7.9305, 7.9305 Å; angles 131.40, 131.40, 71.17 degrees
Last column: nearest neighbours and their distance in Å.
Positions (direct):
Cd 0.0000 0.0000 0.0000  4 I 2.91
Cd 0.7500 0.2500 0.5000  4 I 2.91
Pd 0.2500 0.7500 0.5000  4 I 2.73
Pd 0.5000 0.5000 0.0000  4 I 2.73
I 0.1487 0.6250 0.0237  2 Pd 2.73, 2 Cd 2.91
I 0.3750 0.3987 0.5237  2 Pd 2.73, 2 Cd 2.91
I 0.6013 0.1250 0.9763  2 Pd 2.73, 2 Cd 2.91
I 0.8750 0.8513 0.4763  2 Pd 2.73, 2 Cd 2.91

---

A geometry-optimized HoHfMg structure. Source: Alexandria via LeMat-Bulk, functional PBE-GGA.

Values from the calculation:
Energy of formation from the pure elements: 94.6 meV per atom
DFT total energy: -5.281 eV/atom
D(E_F): 2.90 states/eV/f.u.
Relative energy among the computed polymorphs: 80 meV/atom

Cell lengths 3.2800, 3.2800, 8.1660 Å; angles 90.00, 90.00, 120.00 degrees
Last column: nearest neighbours and their distance in Å.
Positions (direct):
Ho 0.0000 0.0000 0.0000  3 Hf 3.21, 6 Ho 3.28, 3 Mg 3.50
Hf 0.3333 0.6667 0.6822  3 Ho 3.21, 3 Mg 3.24, 6 Hf 3.28
Mg 0.6667 0.3333 0.3603  3 Hf 3.24, 6 Mg 3.28, 3 Ho 3.50

---

A geometry-optimized YMnAs3 structure. Source: Alexandria via LeMat-Bulk, functional PBE-GGA.

Values from the calculation:
Energy of formation from the pure elements: 1261.9 meV per atom
DFT total energy: -4.655 eV/atom
D(E_F): 11.27 states/eV/f.u.
Relative energy among the computed polymorphs: 1469 meV/atom

Cell lengths 5.3385, 5.3385, 5.3385 Å; angles 90.00, 90.00, 90.00 degrees
Last column: nearest neighbours and their distance in Å.
Positions (direct):
Y 0.0000 0.0000 0.0000  6 As 2.67
Mn 0.5000 0.5000 0.5000  12 As 3.77
As 0.0000 0.0000 0.5000  2 Y 2.67
As 0.0000 0.5000 0.0000  2 Y 2.67
As 0.5000 0.0000 0.0000  2 Y 2.67

---

A geometry-optimized KLi2Hg2 structure. Source: Alexandria via LeMat-Bulk, functional PBE-GGA.

Values from the calculation:
Energy of formation from the pure elements: -227.0 meV per atom
DFT total energy: -1.333 eV/atom
D(E_F): 2.66 states/eV/f.u.
Relative energy among the computed polymorphs: 0 meV/atom

Cell lengths 8.4562, 8.4562, 3.3496 Å; angles 90.00, 90.00, 90.00 degrees
Last column: nearest neighbours and their distance in Å.
Positions (direct):
K 0.0000 0.0000 0.0000  4 Li 3.34, 2 K 3.35, 8 Hg 3.59
K 0.5000 0.5000 0.0000  4 Li 3.34, 2 K 3.35, 8 Hg 3.59
Li 0.1247 0.3753 0.0000  6 Hg 2.96-3.05, 1 Li 2.98
Li 0.3753 0.8753 0.0000  6 Hg 2.96-3.05, 1 Li 2.98
Li 0.6247 0.1247 0.0000  6 Hg 2.96-3.05, 1 Li 2.98
Li 0.8753 0.6247 0.0000  6 Hg 2.96-3.05, 1 Li 2.98
Hg 0.1618 0.6618 0.5000  6 Li 2.96-3.05
Hg 0.3382 0.1618 0.5000  6 Li 2.96-3.05
Hg 0.6618 0.8382 0.5000  6 Li 2.96-3.05
Hg 0.8382 0.3382 0.5000  6 Li 2.96-3.05

---

A geometry-optimized CsNaCl structure. Source: Alexandria via LeMat-Bulk, functional PBE-GGA.

Values from the calculation:
Energy relative to the elements, uncorrected: -1.2443 eV per atom
DFT total energy: -2.584 eV/atom
D(E_F): 0.66 states/eV/f.u.
Relative energy among the computed polymorphs: 0 meV/atom

Cell lengths 4.9413, 4.9413, 10.9284 Å; angles 90.00, 90.00, 90.00 degrees
Last column: nearest neighbours and their distance in Å.
Positions (direct):
Cs 0.2500 0.2500 0.1657  5 Cl 3.49-3.56
Cs 0.7500 0.7500 0.8343  5 Cl 3.49-3.56
Na 0.2500 0.2500 0.5777  1 Cl 2.86
Na 0.7500 0.7500 0.4223  1 Cl 2.86
Cl 0.2500 0.2500 0.8398  1 Na 2.86
Cl 0.7500 0.7500 0.1602  1 Na 2.86

---

A geometry-optimized NaHfRu2Se structure. Source: Alexandria via LeMat-Bulk, functional PBE-GGA.

Values from the calculation:
Energy relative to the elements, uncorrected: 0.7040 eV per atom
DFT total energy: -5.958 eV/atom
D(E_F): 5.70 states/eV/f.u.

Cell lengths 4.5854, 4.5854, 4.7010 Å; angles 90.00, 90.00, 90.00 degrees
Last column: nearest neighbours and their distance in Å.
Positions (direct):
Na 0.0000 0.0000 0.0000  2 Se 2.35
Hf 0.5000 0.5000 0.0000  4 Na 3.24, 8 Ru 3.28
Ru 0.0000 0.5000 0.5000  2 Se 2.29
Ru 0.5000 0.0000 0.5000  2 Se 2.29
Se 0.0000 0.0000 0.5000  4 Ru 2.29, 2 Na 2.35

---

A geometry-optimized Rb2ZrBr2F4 structure. Source: Alexandria via LeMat-Bulk, functional PBE-GGA.

Values from the calculation:
Energy relative to the elements, uncorrected: -2.7531 eV per atom
DFT total energy: -5.121 eV/atom
D(E_F): 0.00 states/eV/f.u.

Cell lengths 6.8729, 6.8729, 6.8729 Å; angles 117.70, 117.70, 94.04 degrees
Last column: nearest neighbours and their distance in Å.
Positions (direct):
Rb 0.2500 0.7500 0.5000  8 F 3.47, 4 Br 3.57
Rb 0.7500 0.2500 0.5000  8 F 3.47, 4 Br 3.57
Zr 0.0000 0.0000 0.0000  4 F 2.02
Br 0.2867 0.2867 0.0000  1 Zr 2.69
Br 0.7133 0.7133 0.0000  1 Zr 2.69
F 0.2013 0.2013 0.4025  1 Zr 2.02
F 0.2013 0.7987 0.0000  1 Zr 2.02
F 0.7987 0.2013 0.0000  1 Zr 2.02
F 0.7987 0.7987 0.5975  1 Zr 2.02

---

A geometry-optimized Tb6Pr3Y2 structure. Source: Alexandria via LeMat-Bulk, functional PBE-GGA.

Values from the calculation:
Energy of formation from the pure elements: 15.3 meV per atom
DFT total energy: -4.989 eV/atom
D(E_F): 14.99 states/eV/f.u.
Relative energy among the computed polymorphs: 0 meV/atom

Cell lengths 6.2328, 8.0430, 8.0766 Å; angles 107.35, 104.79, 97.30 degrees
Last column: nearest neighbours and their distance in Å.
Positions (direct):
Tb 0.0458 0.4074 0.1803  5 Tb 3.58-3.62, 4 Pr 3.59-3.62, 3 Y 3.60-3.64
Tb 0.2268 0.0451 0.9105  7 Tb 3.58-3.60, 2 Y 3.60-3.61, 3 Pr 3.61-3.63
Tb 0.3180 0.8641 0.2712  6 Tb 3.58-3.64, 2 Y 3.59-3.62, 4 Pr 3.60
Tb 0.6820 0.1359 0.7288  6 Tb 3.58-3.64, 2 Y 3.59-3.62, 4 Pr 3.60
Tb 0.7732 0.9549 0.0895  7 Tb 3.58-3.60, 2 Y 3.60-3.61, 3 Pr 3.61-3.63
Tb 0.9542 0.5926 0.8197  5 Tb 3.58-3.62, 4 Pr 3.59-3.62, 3 Y 3.60-3.64
Pr 0.1363 0.2264 0.5458  2 Pr 3.59-3.62, 7 Tb 3.60-3.63, 3 Y 3.60-3.62
Pr 0.5000 0.5000 0.0000  8 Tb 3.59-3.61, 2 Y 3.61, 2 Pr 3.62
Pr 0.8637 0.7736 0.4542  2 Pr 3.59-3.62, 7 Tb 3.60-3.63, 3 Y 3.60-3.62
Y 0.4092 0.6832 0.6369  7 Tb 3.59-3.64, 4 Pr 3.60-3.62, 1 Y 3.62
Y 0.5908 0.3168 0.3631  7 Tb 3.59-3.64, 4 Pr 3.60-3.62, 1 Y 3.62

---

A geometry-optimized ErTlCuCl6 structure. Source: Alexandria via LeMat-Bulk, functional PBE-GGA.

Values from the calculation:
Energy relative to the elements, uncorrected: -1.4018 eV per atom
DFT total energy: -3.858 eV/atom

Cell lengths 6.5625, 6.5657, 7.1142 Å; angles 92.55, 92.63, 115.37 degrees
Last column: nearest neighbours and their distance in Å.
Positions (direct):
Er 0.0000 0.0000 0.0000  6 Cl 2.55-2.69
Tl 0.6741 0.3254 0.5000  6 Cl 3.11-3.42
Cu 0.3439 0.6555 0.0000  4 Cl 2.31-2.32
Cl 0.0445 0.3085 0.2506  1 Er 2.55
Cl 0.0784 0.6904 0.7950  1 Cu 2.31
Cl 0.3097 0.9212 0.2051  1 Cu 2.32
Cl 0.3116 0.3339 0.8268  1 Cu 2.32
Cl 0.6662 0.6893 0.1738  1 Cu 2.32
Cl 0.6918 0.9547 0.7483  1 Er 2.55

---

A geometry-optimized ScTe3P structure. Source: Alexandria via LeMat-Bulk, functional PBE-GGA.

Values from the calculation:
Energy relative to the elements, uncorrected: 0.3505 eV per atom
DFT total energy: -3.883 eV/atom
D(E_F): 3.82 states/eV/f.u.
Relative energy among the computed polymorphs: 241 meV/atom

Cell lengths 5.5255, 5.5255, 5.5255 Å; angles 90.00, 90.00, 90.00 degrees
Last column: nearest neighbours and their distance in Å.
Positions (direct):
Sc 0.0000 0.0000 0.0000  6 Te 2.76
Te 0.0000 0.0000 0.5000  2 Sc 2.76
Te 0.0000 0.5000 0.0000  2 Sc 2.76
Te 0.5000 0.0000 0.0000  2 Sc 2.76
P 0.5000 0.5000 0.5000  12 Te 3.91

---

A geometry-optimized IrPtSe2 structure. Source: Alexandria via LeMat-Bulk, functional PBE-GGA.

Values from the calculation:
Energy relative to the elements, uncorrected: -0.1167 eV per atom
DFT total energy: -5.584 eV/atom
D(E_F): 2.33 states/eV/f.u.

Cell lengths 7.1806, 7.1806, 7.1806 Å; angles 30.26, 30.26, 30.26 degrees
Last column: nearest neighbours and their distance in Å.
Positions (direct):
Ir 0.0000 0.0000 0.0000  3 Se 2.40
Pt 0.2480 0.2480 0.2480  3 Se 2.44
Se 0.5267 0.5267 0.5267  3 Pt 2.44
Se 0.7173 0.7173 0.7173  3 Ir 2.40

---

A geometry-optimized TaCr2Tc structure. Source: Alexandria via LeMat-Bulk, functional PBE-GGA.

Values from the calculation:
Energy of formation from the pure elements: -40.0 meV per atom
DFT total energy: -10.406 eV/atom
D(E_F): 2.36 states/eV/f.u.
Relative energy among the computed polymorphs: 18 meV/atom

Cell lengths 4.3066, 4.3066, 4.3066 Å; angles 60.00, 60.00, 60.00 degrees
Last column: nearest neighbours and their distance in Å.
Positions (direct):
Ta 0.0000 0.0000 0.0000  4 Cr 2.64, 4 Tc 2.64
Cr 0.5000 0.5000 0.5000  4 Cr 2.64, 4 Tc 2.64
Cr 0.7500 0.7500 0.7500  4 Cr 2.64, 4 Ta 2.64
Tc 0.2500 0.2500 0.2500  4 Cr 2.64, 4 Ta 2.64

---

A geometry-optimized PmZnBiRh structure. Source: Alexandria via LeMat-Bulk, functional PBE-GGA.

Values from the calculation:
Energy of formation from the pure elements: -400.6 meV per atom
DFT total energy: -4.715 eV/atom
D(E_F): 2.30 states/eV/f.u.

Cell lengths 4.9532, 4.9532, 4.9532 Å; angles 60.00, 60.00, 60.00 degrees
Last column: nearest neighbours and their distance in Å.
Positions (direct):
Pm 0.0000 0.0000 0.0000  4 Rh 3.03, 4 Zn 3.03
Zn 0.7500 0.7500 0.7500  4 Bi 3.03, 4 Pm 3.03
Bi 0.5000 0.5000 0.5000  4 Rh 3.03, 4 Zn 3.03
Rh 0.2500 0.2500 0.2500  4 Bi 3.03, 4 Pm 3.03

---

A geometry-optimized TaV2Pt structure. Source: Alexandria via LeMat-Bulk, functional PBE-GGA.

Values from the calculation:
Energy of formation from the pure elements: -276.2 meV per atom
DFT total energy: -9.309 eV/atom
D(E_F): 5.60 states/eV/f.u.
Relative energy among the computed polymorphs: 0 meV/atom

Cell lengths 4.2572, 4.2572, 3.3257 Å; angles 90.00, 90.00, 90.00 degrees
Last column: nearest neighbours and their distance in Å.
Positions (direct):
Ta 0.0000 0.0000 0.0000  8 V 2.70, 4 Pt 3.01
V 0.0000 0.5000 0.5000  4 Ta 2.70, 4 Pt 2.70, 4 V 3.01
V 0.5000 0.0000 0.5000  4 Ta 2.70, 4 Pt 2.70, 4 V 3.01
Pt 0.5000 0.5000 0.0000  8 V 2.70, 4 Ta 3.01

---

A geometry-optimized Li3CuB3O7 structure. Source: Alexandria via LeMat-Bulk, functional PBE-GGA.

Values from the calculation:
Energy relative to the elements, uncorrected: -2.1006 eV per atom
DFT total energy: -6.713 eV/atom
D(E_F): 0.03 states/eV/f.u.

Cell lengths 3.4002, 8.9258, 9.5429 Å; angles 83.89, 89.34, 87.78 degrees
Last column: nearest neighbours and their distance in Å.
Positions (direct):
Li 0.0057 0.0933 0.1373  4 O 1.98-2.11
Li 0.0059 0.7483 0.4597  5 O 2.00-2.23
Li 0.4807 0.9730 0.3652  4 O 1.99-2.06
Li 0.5193 0.0270 0.6348  4 O 1.99-2.06
Li 0.9941 0.2517 0.5403  5 O 2.00-2.23
Li 0.9943 0.9067 0.8627  4 O 1.98-2.11
Cu 0.4104 0.3392 0.0364  4 O 1.92-1.95
Cu 0.5896 0.6608 0.9636  4 O 1.92-1.95
B 0.0735 0.2070 0.8024  3 O 1.36-1.46
B 0.2292 0.4851 0.7508  3 O 1.35-1.39
B 0.4320 0.7474 0.6645  3 O 1.35-1.44
B 0.5680 0.2526 0.3355  3 O 1.35-1.44
B 0.7708 0.5149 0.2492  3 O 1.35-1.39
B 0.9265 0.7930 0.1976  3 O 1.36-1.46
O 0.0035 0.9094 0.2728  1 B 1.36
O 0.0944 0.3500 0.7143  2 B 1.39-1.46
O 0.1301 0.1919 0.9449  1 B 1.37
O 0.2454 0.6082 0.6491  2 B 1.39-1.44
O 0.3483 0.4968 0.8834  1 B 1.35
O 0.4903 0.2017 0.2072  1 B 1.38
O 0.4996 0.1673 0.4587  1 B 1.35
O 0.5004 0.8327 0.5413  1 B 1.35
O 0.5097 0.7983 0.7928  1 B 1.38
O 0.6517 0.5032 0.1166  1 B 1.35
O 0.7546 0.3918 0.3509  2 B 1.39-1.44
O 0.8699 0.8081 0.0551  1 B 1.37
O 0.9056 0.6500 0.2857  2 B 1.39-1.46
O 0.9965 0.0906 0.7272  1 B 1.36